#i
# Na3CaF6 | Alexandria | PBE | optimized geometry
data_Na3CaF6
_cell_length_a 6.367
_cell_length_b 11.826
_cell_length_c 3.681
_cell_angle_alpha 90.00
_cell_angle_beta 90.00
_cell_angle_gamma 90.00
_space_group_name_H-M_alt 'P 1'
_space_group_IT_number 1
loop_
_space_group_symop_operation_xyz
'x,y,z'
loop_
_atom_site_label
_atom_site_type_symbol
_atom_site_fract_x
_atom_site_fract_y
_atom_site_fract_z
_atom_site_occupancy
Na1 Na 0.000 0.000 0.000 1
Na2 Na 0.190 0.220 0.500 1
Na3 Na 0.310 0.720 0.000 1
Na4 Na 0.500 0.500 0.500 1
Na5 Na 0.690 0.280 0.000 1
Na6 Na 0.810 0.780 0.500 1
Ca1 Ca 0.000 0.500 0.000 1
Ca2 Ca 0.500 0.000 0.500 1
F1 F 0.056 0.302 0.000 1
F2 F 0.119 0.912 0.500 1
F3 F 0.181 0.574 0.500 1
F4 F 0.319 0.074 0.000 1
F5 F 0.381 0.412 0.000 1
F6 F 0.444 0.802 0.500 1
F7 F 0.556 0.198 0.500 1
F8 F 0.619 0.588 0.000 1
F9 F 0.681 0.926 0.000 1
F10 F 0.819 0.426 0.500 1
F11 F 0.881 0.088 0.500 1
F12 F 0.944 0.698 0.000 1
# * theoretical density: 2.67 Mg/m³
# * total magnetization: 2.17 Bohr magnetons per cell
# * space group: No. 58

***

#ii
# Na3CaF6 | Alexandria | PBE | optimized geometry
data_Na3CaF6
_cell_length_a 5.915
_cell_length_b 6.122
_cell_length_c 9.874
_cell_angle_alpha 90.00
_cell_angle_beta 125.47
_cell_angle_gamma 90.00
_space_group_name_H-M_alt 'P 1'
_space_group_IT_number 1
loop_
_space_group_symop_operation_xyz
'x,y,z'
loop_
_atom_site_label
_atom_site_type_symbol
_atom_site_fract_x
_atom_site_fract_y
_atom_site_fract_z
_atom_site_occupancy
Na1 Na 0.000 0.000 0.000 1
Na2 Na 0.000 0.500 0.500 1
Na3 Na 0.225 0.059 0.744 1
Na4 Na 0.225 0.441 0.244 1
Na5 Na 0.775 0.559 0.756 1
Na6 Na 0.775 0.941 0.256 1
Ca1 Ca 0.500 0.000 0.500 1
Ca2 Ca 0.500 0.500 0.000 1
F1 F 0.120 0.200 0.419 1
F2 F 0.120 0.300 0.919 1
F3 F 0.207 0.709 0.406 1
F4 F 0.207 0.791 0.906 1
F5 F 0.422 0.103 0.257 1
F6 F 0.422 0.397 0.757 1
F7 F 0.578 0.603 0.243 1
F8 F 0.578 0.897 0.743 1
F9 F 0.793 0.209 0.094 1
F10 F 0.793 0.291 0.594 1
F11 F 0.880 0.700 0.081 1
F12 F 0.880 0.800 0.581 1
# * theoretical density: 2.54 Mg/m³
# * total magnetization: 2.05 Bohr magnetons per cell
# * space group: No. 14

***

Pick #ii: it beats the second-best structure by 7 meV per atom.

***

#i
# NaCaF2 | Alexandria | PBE | optimized geometry
data_NaCaF2
_cell_length_a 6.907
_cell_length_b 6.907
_cell_length_c 6.907
_cell_angle_alpha 131.84
_cell_angle_beta 131.84
_cell_angle_gamma 70.48
_space_group_name_H-M_alt 'P 1'
_space_group_IT_number 1
loop_
_space_group_symop_operation_xyz
'x,y,z'
loop_
_atom_site_label
_atom_site_type_symbol
_atom_site_fract_x
_atom_site_fract_y
_atom_site_fract_z
_atom_site_occupancy
Na1 Na 0.000 0.000 0.000 1
Na2 Na 0.750 0.250 0.500 1
Ca1 Ca 0.250 0.750 0.500 1
Ca2 Ca 0.500 0.500 0.000 1
F1 F 0.198 0.625 0.073 1
F2 F 0.375 0.448 0.573 1
F3 F 0.552 0.125 0.927 1
F4 F 0.875 0.802 0.427 1
# * theoretical density: 1.87 Mg/m³
# * total magnetization: 0.00 Bohr magnetons per cell
# * space group: No. 122

***

#ii
# NaCaF2 | Alexandria | PBE | optimized geometry
data_NaCaF2
_cell_length_a 7.141
_cell_length_b 7.141
_cell_length_c 7.141
_cell_angle_alpha 30.22
_cell_angle_beta 30.22
_cell_angle_gamma 30.22
_space_group_name_H-M_alt 'P 1'
_space_group_IT_number 1
loop_
_space_group_symop_operation_xyz
'x,y,z'
loop_
_atom_site_label
_atom_site_type_symbol
_atom_site_fract_x
_atom_site_fract_y
_atom_site_fract_z
_atom_site_occupancy
Na1 Na 0.000 0.000 0.000 1
Ca1 Ca 0.500 0.500 0.500 1
F1 F 0.122 0.122 0.122 1
F2 F 0.878 0.878 0.878 1
# * theoretical density: 2.05 Mg/m³
# * total magnetization: 0.00 Bohr magnetons per cell
# * space group: No. 166

***

#iii
# NaCaF2 | Alexandria | PBE | optimized geometry
data_NaCaF2
_cell_length_a 4.478
_cell_length_b 4.478
_cell_length_c 4.478
_cell_angle_alpha 60.00
_cell_angle_beta 60.00
_cell_angle_gamma 60.00
_space_group_name_H-M_alt 'P 1'
_space_group_IT_number 1
loop_
_space_group_symop_operation_xyz
'x,y,z'
loop_
_atom_site_label
_atom_site_type_symbol
_atom_site_fract_x
_atom_site_fract_y
_atom_site_fract_z
_atom_site_occupancy
Na1 Na 0.000 0.000 0.000 1
Ca1 Ca 0.500 0.500 0.500 1
F1 F 0.250 0.250 0.250 1
F2 F 0.750 0.750 0.750 1
# * theoretical density: 2.64 Mg/m³
# * total magnetization: 0.24 Bohr magnetons per cell
# * space group: No. 225

***

Pick #ii: it beats the second-best structure by 169 meV per atom.

***

#i
# NaCaF | Alexandria | PBE | optimized geometry
data_NaCaF
_cell_length_a 7.485
_cell_length_b 7.485
_cell_length_c 7.485
_cell_angle_alpha 153.78
_cell_angle_beta 153.78
_cell_angle_gamma 37.42
_space_group_name_H-M_alt 'P 1'
_space_group_IT_number 1
loop_
_space_group_symop_operation_xyz
'x,y,z'
loop_
_atom_site_label
_atom_site_type_symbol
_atom_site_fract_x
_atom_site_fract_y
_atom_site_fract_z
_atom_site_occupancy
Na1 Na 0.000 0.000 0.000 1
Ca1 Ca 0.731 0.731 0.000 1
F1 F 0.238 0.238 0.000 1
# * theoretical density: 1.67 Mg/m³
# * total magnetization: 0.00 Bohr magnetons per cell
# * space group: No. 107

***

#ii
# NaCaF | Alexandria | PBE | optimized geometry
data_NaCaF
_cell_length_a 3.880
_cell_length_b 3.880
_cell_length_c 7.030
_cell_angle_alpha 90.00
_cell_angle_beta 90.00
_cell_angle_gamma 120.00
_space_group_name_H-M_alt 'P 1'
_space_group_IT_number 1
loop_
_space_group_symop_operation_xyz
'x,y,z'
loop_
_atom_site_label
_atom_site_type_symbol
_atom_site_fract_x
_atom_site_fract_y
_atom_site_fract_z
_atom_site_occupancy
Na1 Na 0.000 0.000 0.000 1
Ca1 Ca 0.667 0.333 0.470 1
F1 F 0.333 0.667 0.516 1
# * theoretical density: 1.49 Mg/m³
# * total magnetization: 0.00 Bohr magnetons per cell
# * space group: No. 156

***

#iii
# NaCaF | Alexandria | PBE | optimized geometry
data_NaCaF
_cell_length_a 4.029
_cell_length_b 4.029
_cell_length_c 9.543
_cell_angle_alpha 90.00
_cell_angle_beta 90.00
_cell_angle_gamma 90.00
_space_group_name_H-M_alt 'P 1'
_space_group_IT_number 1
loop_
_space_group_symop_operation_xyz
'x,y,z'
loop_
_atom_site_label
_atom_site_type_symbol
_atom_site_fract_x
_atom_site_fract_y
_atom_site_fract_z
_atom_site_occupancy
Na1 Na 0.250 0.250 0.097 1
Na2 Na 0.750 0.750 0.903 1
Ca1 Ca 0.250 0.250 0.632 1
Ca2 Ca 0.750 0.750 0.368 1
F1 F 0.250 0.750 0.500 1
F2 F 0.750 0.250 0.500 1
# * theoretical density: 1.76 Mg/m³
# * total magnetization: 0.00 Bohr magnetons per cell
# * space group: No. 129

***

Pick #iii: it beats the second-best structure by 130 meV per atom.

***

#i
# NaCaOF2 | Alexandria | PBE | optimized geometry
data_NaCaOF2
_cell_length_a 4.425
_cell_length_b 4.425
_cell_length_c 4.578
_cell_angle_alpha 90.00
_cell_angle_beta 90.00
_cell_angle_gamma 90.00
_space_group_name_H-M_alt 'P 1'
_space_group_IT_number 1
loop_
_space_group_symop_operation_xyz
'x,y,z'
loop_
_atom_site_label
_atom_site_type_symbol
_atom_site_fract_x
_atom_site_fract_y
_atom_site_fract_z
_atom_site_occupancy
Na1 Na 0.000 0.000 0.000 1
Ca1 Ca 0.500 0.500 0.500 1
O1 O 0.500 0.500 0.000 1
F1 F 0.000 0.500 0.500 1
F2 F 0.500 0.000 0.500 1
# * theoretical density: 2.17 Mg/m³
# * total magnetization: 1.00 Bohr magnetons per cell
# * space group: No. 123

***

#ii
# NaCaOF2 | Alexandria | PBE | optimized geometry
data_NaCaOF2
_cell_length_a 4.066
_cell_length_b 4.066
_cell_length_c 4.243
_cell_angle_alpha 90.00
_cell_angle_beta 90.00
_cell_angle_gamma 90.00
_space_group_name_H-M_alt 'P 1'
_space_group_IT_number 1
loop_
_space_group_symop_operation_xyz
'x,y,z'
loop_
_atom_site_label
_atom_site_type_symbol
_atom_site_fract_x
_atom_site_fract_y
_atom_site_fract_z
_atom_site_occupancy
Na1 Na 0.000 0.000 0.000 1
Ca1 Ca 0.500 0.500 0.500 1
O1 O 0.000 0.000 0.500 1
F1 F 0.000 0.500 0.000 1
F2 F 0.500 0.000 0.000 1
# * theoretical density: 2.77 Mg/m³
# * total magnetization: 1.00 Bohr magnetons per cell
# * space group: No. 123

***

Pick #i: it beats the second-best structure by 231 meV per atom.